Entry 1:
This record from Alexandria describes an optimized crystal structure of HfB2S. The functional is PBE.

Computed properties:
The value obtained for the density of states at the Fermi level is 6.306 states/eV/cell. For the spin magnetization, the calculation gives 0.00 μB per formula unit.

Cell: 5.646 5.646 6.257 Å, 90.00 90.00 90.00°
Space group I-42d (No. 122)
Inequivalent atoms, fractional coordinates:
Hf: 0.000 0.000 0.000 (multiplicity 4)
B: 0.173 0.250 0.625 (multiplicity 8)
S: 0.000 0.000 0.500 (multiplicity 4)

Entry 2:
This record from Alexandria describes an optimized crystal structure of HfB2S6. The functional is PBE.

Computed properties:
The value obtained for the density of states at the Fermi level is 2.359 states/eV/cell. For the spin magnetization, the calculation gives 0.00 μB per formula unit.

Cell: 12.181 9.597 6.082 Å, 90.00 99.43 90.00°
Space group C2/c (No. 15)
Inequivalent atoms, fractional coordinates:
Hf: 0.000 0.132 0.250 (multiplicity 4)
B: 0.234 0.431 0.347 (multiplicity 8)
S: 0.108 0.077 0.627 (multiplicity 8)
S: 0.169 0.270 0.192 (multiplicity 8)
S: 0.173 0.433 0.629 (multiplicity 8)

Entry 3:
This record from Alexandria describes an optimized crystal structure of Hf7B2S2. The functional is PBE.

Computed properties:
The value obtained for the density of states at the Fermi level is 13.413 states/eV/cell. For the spin magnetization, the calculation gives 0.00 μB per formula unit.

Cell: 3.427 13.155 8.225 Å, 90.00 90.00 90.00°
Space group Imm2 (No. 44)
Inequivalent atoms, fractional coordinates:
Hf: 0.000 0.000 0.000 (multiplicity 2)
Hf: 0.000 0.106 0.390 (multiplicity 4)
Hf: 0.000 0.321 0.609 (multiplicity 4)
Hf: 0.000 0.375 0.219 (multiplicity 4)
B: 0.000 0.000 0.677 (multiplicity 2)
B: 0.000 0.500 0.734 (multiplicity 2)
S: 0.000 0.241 0.900 (multiplicity 4)

Entry 4:
This record from Alexandria describes an optimized crystal structure of HfBSeS2. The functional is PBE.

Computed properties:
The value obtained for the density of states at the Fermi level is 1.447 states/eV/cell. For the spin magnetization, the calculation gives 0.00 μB per formula unit.

Cell: 4.219 4.219 4.439 Å, 90.00 90.00 90.00°
Space group P4/mmm (No. 123)
Inequivalent atoms, fractional coordinates:
Hf: 0.000 0.000 0.000 (multiplicity 1)
B: 0.500 0.500 0.500 (multiplicity 1)
Se: 0.500 0.500 0.000 (multiplicity 1)
S: 0.000 0.500 0.500 (multiplicity 2)

Entry 5:
This record from Alexandria describes an optimized crystal structure of HfZrB2S. The functional is PBE.

Computed properties:
The value obtained for the density of states at the Fermi level is 3.695 states/eV/cell. For the spin magnetization, the calculation gives 0.00 μB per formula unit.

Cell: 4.182 4.182 6.006 Å, 90.00 90.00 90.00°
Space group P4/mmm (No. 123)
Inequivalent atoms, fractional coordinates:
Hf: 0.000 0.000 0.000 (multiplicity 1)
Zr: 0.000 0.000 0.500 (multiplicity 1)
B: 0.000 0.500 0.500 (multiplicity 2)
S: 0.500 0.500 0.000 (multiplicity 1)

Entry 6:
This record from Alexandria describes an optimized crystal structure of Hf12BSb6. The functional is PBE.

Computed properties:
The value obtained for the density of states at the Fermi level is 55.398 states/eV/cell. For the spin magnetization, the calculation gives 0.00 μB per formula unit.

Cell: 11.9088 11.9088 10.8005 Å, 90.00 90.00 120.00°
Space group R-3 (No. 148, hexagonal axes)
Inequivalent atoms, fractional coordinates:
Hf: 0.0320 0.8601 0.3781 (multiplicity 18)
Hf: 0.0658 0.8894 0.8695 (multiplicity 18)
B: 0.0000 0.0000 0.0000 (multiplicity 3)
Sb: 0.0313 0.6195 0.3051 (multiplicity 18)

Number 1: final energy -6.6044 eV/atom. Number 2: final energy -5.8427 eV/atom. Number 3: final energy -8.9227 eV/atom. Number 4: final energy -5.5463 eV/atom. Number 5: final energy -5.6744 eV/atom. Number 6: final energy -8.1454 eV/atom.